[1]
A relaxed structure of Y2BW. Source: Alexandria, functional PBE.

Results
* formation energy from the elements: 1.765 eV per formula unit
* V: 24.05 Å³ per atom
* total magnetic moment: 0.0 μB per formula unit
* crystal system: tetragonal
* D(E_F): 5.6 states/eV/f.u.

```
data_Y2BW
_cell_length_a 9.5882
_cell_length_b 9.5882
_cell_length_c 4.1854
_cell_angle_alpha 90.00
_cell_angle_beta 90.00
_cell_angle_gamma 90.00
_space_group_name_H-M_alt 'I -4 2 d'
_space_group_IT_number 122
_space_group_name_Hall 'I -4 2bw'
loop_
_atom_site_label
_atom_site_type_symbol
_atom_site_fract_x
_atom_site_fract_y
_atom_site_fract_z
Y1 Y 0.0873 0.2500 0.1250
B1 B 0.0000 0.0000 0.0000
W1 W 0.0000 0.0000 0.5000
```

---

[2]
A relaxed structure of CsTiCu2Cl8. Source: Alexandria, functional PBE.

Results
* V: 30.61 Å³ per atom
* E_form (uncorrected): -1.1619 eV per atom
* total magnetic moment: 1.1 μB per formula unit
* crystal system: triclinic
* D(E_F): 1.7 states/eV/f.u.

```
data_CsTiCu2Cl8
_cell_length_a 6.9340
_cell_length_b 7.2989
_cell_length_c 8.4946
_cell_angle_alpha 69.92
_cell_angle_beta 88.17
_cell_angle_gamma 66.44
_space_group_name_H-M_alt 'P -1'
_space_group_IT_number 2
loop_
_space_group_symop_operation_xyz
'x,y,z'
'-x,-y,-z'
loop_
_atom_site_label
_atom_site_type_symbol
_atom_site_fract_x
_atom_site_fract_y
_atom_site_fract_z
Cs1 Cs 0.0000 0.0000 0.0000
Ti1 Ti 0.0000 0.0000 0.5000
Cu1 Cu 0.4628 0.0517 0.1665
Cl1 Cl 0.1469 0.7046 0.4264
Cl2 Cl 0.1546 0.1951 0.2795
Cl3 Cl 0.3154 0.8554 0.6956
Cl4 Cl 0.3747 0.2544 0.8810
```

---

[3]
A relaxed structure of CaV2SbSe. Source: Alexandria, functional PBE.

Results
* V: 23.73 Å³ per atom
* E_form (uncorrected): 1.9134 eV per atom
* total magnetic moment: 0.0 μB per formula unit
* crystal system: tetragonal
* D(E_F): 9.3 states/eV/f.u.

```
data_CaV2SbSe
_cell_length_a 4.6537
_cell_length_b 4.6537
_cell_length_c 5.4786
_cell_angle_alpha 90.00
_cell_angle_beta 90.00
_cell_angle_gamma 90.00
_space_group_name_H-M_alt 'P 4/m m m'
_space_group_IT_number 123
_space_group_name_Hall '-P 4 2'
loop_
_atom_site_label
_atom_site_type_symbol
_atom_site_fract_x
_atom_site_fract_y
_atom_site_fract_z
Ca1 Ca 0.0000 0.0000 0.0000
V1 V 0.0000 0.5000 0.0000
Sb1 Sb 0.0000 0.0000 0.5000
Se1 Se 0.5000 0.5000 0.5000
```

---

[4]
A relaxed structure of SiBSeS. Source: Alexandria, functional PBE.

Results
* V: 19.14 Å³ per atom
* E_form (uncorrected): -0.0064 eV per atom
* total magnetic moment: 0.0 μB per formula unit
* crystal system: triclinic
* D(E_F): 0.3 states/eV/f.u.

```
data_SiBSeS
_cell_length_a 2.9652
_cell_length_b 3.4880
_cell_length_c 8.3001
_cell_angle_alpha 99.92
_cell_angle_beta 92.11
_cell_angle_gamma 114.22
_space_group_name_H-M_alt 'P 1'
_space_group_IT_number 1
loop_
_space_group_symop_operation_xyz
'x,y,z'
loop_
_atom_site_label
_atom_site_type_symbol
_atom_site_fract_x
_atom_site_fract_y
_atom_site_fract_z
Si1 Si 0.0000 0.0000 0.0000
B1 B 0.9446 0.4180 0.8470
Se1 Se 0.5778 0.6156 0.2154
S1 S 0.3948 0.3441 0.7090
```

---

[5]
A relaxed structure of Ac3NdDy8. Source: Alexandria, functional PBE.

Results
* formation energy from the elements: 0.642 eV per formula unit
* V: 35.16 Å³ per atom
* total magnetic moment: 0.0 μB per formula unit
* crystal system: orthorhombic
* D(E_F): 22.6 states/eV/f.u.

```
data_Ac3NdDy8
_cell_length_a 11.2042
_cell_length_b 11.7284
_cell_length_c 6.4212
_cell_angle_alpha 90.00
_cell_angle_beta 90.00
_cell_angle_gamma 90.00
_space_group_name_H-M_alt 'I m m 2'
_space_group_IT_number 44
loop_
_space_group_symop_operation_xyz
'x,y,z'
'-x,-y,z'
'-x,y,z'
'x,-y,z'
'x+1/2,y+1/2,z+1/2'
'-x+1/2,-y+1/2,z+1/2'
'-x+1/2,y+1/2,z+1/2'
'x+1/2,-y+1/2,z+1/2'
loop_
_atom_site_label
_atom_site_type_symbol
_atom_site_fract_x
_atom_site_fract_y
_atom_site_fract_z
Ac1 Ac 0.0000 0.0000 0.0000
Ac2 Ac 0.0000 0.2524 0.3552
Nd1 Nd 0.0000 0.5000 0.0019
Dy1 Dy 0.1705 0.5000 0.5183
Dy2 Dy 0.1709 0.2524 0.8447
Dy3 Dy 0.1751 0.0000 0.5154
```

---

[6]
A relaxed structure of Te2AsPb. Source: Alexandria, functional PBE.

Results
* V: 27.86 Å³ per atom
* E_form (uncorrected): 0.2379 eV per atom
* total magnetic moment: 0.0 μB per formula unit
* crystal system: orthorhombic
* D(E_F): 3.1 states/eV/f.u.

```
data_Te2AsPb
_cell_length_a 3.7831
_cell_length_b 5.7985
_cell_length_c 10.1594
_cell_angle_alpha 90.00
_cell_angle_beta 90.00
_cell_angle_gamma 90.00
_space_group_name_H-M_alt 'C m m m'
_space_group_IT_number 65
_space_group_name_Hall '-C 2 2'
loop_
_atom_site_label
_atom_site_type_symbol
_atom_site_fract_x
_atom_site_fract_y
_atom_site_fract_z
Te1 Te 0.0000 0.0000 0.2177
As1 As 0.0000 0.5000 0.0000
Pb1 Pb 0.0000 0.5000 0.5000
```

---

[7]
A relaxed structure of PmPaSi. Source: Alexandria, functional PBE.

Results
* V: 24.95 Å³ per atom
* E_form (uncorrected): -0.4528 eV per atom
* total magnetic moment: 0.4 μB per formula unit
* crystal system: tetragonal
* D(E_F): 5.4 states/eV/f.u.

```
data_PmPaSi
_cell_length_a 4.2258
_cell_length_b 4.2258
_cell_length_c 8.3821
_cell_angle_alpha 90.00
_cell_angle_beta 90.00
_cell_angle_gamma 90.00
_space_group_name_H-M_alt 'P 4/n m m'
_space_group_IT_number 129
loop_
_space_group_symop_operation_xyz
'x,y,z'
'-x,-y,-z'
'-y+1/2,x,z'
'y+1/2,-x,-z'
'-x+1/2,-y+1/2,z'
'x+1/2,y+1/2,-z'
'y,-x+1/2,z'
'-y,x+1/2,-z'
'x+1/2,-y,-z'
'-x+1/2,y,z'
'-y,-x,-z'
'y,x,z'
'-x,y+1/2,-z'
'x,-y+1/2,z'
'y+1/2,x+1/2,-z'
'-y+1/2,-x+1/2,z'
loop_
_atom_site_label
_atom_site_type_symbol
_atom_site_fract_x
_atom_site_fract_y
_atom_site_fract_z
Pm1 Pm 0.2500 0.2500 0.1381
Pa1 Pa 0.2500 0.7500 0.5000
Si1 Si 0.2500 0.2500 0.7590
```

---

[8]
A relaxed structure of SrCu2Au. Source: Alexandria, functional PBE.

Results
* formation energy from the elements: 0.568 eV per formula unit
* V: 21.59 Å³ per atom
* total magnetic moment: 0.0 μB per formula unit
* crystal system: orthorhombic
* D(E_F): 1.0 states/eV/f.u.

```
data_SrCu2Au
_cell_length_a 5.8194
_cell_length_b 6.3959
_cell_length_c 9.2804
_cell_angle_alpha 90.00
_cell_angle_beta 90.00
_cell_angle_gamma 90.00
_space_group_name_H-M_alt 'F m m m'
_space_group_IT_number 69
_space_group_name_Hall '-F 2 2'
loop_
_atom_site_label
_atom_site_type_symbol
_atom_site_fract_x
_atom_site_fract_y
_atom_site_fract_z
Sr1 Sr 0.0000 0.0000 0.0000
Cu1 Cu 0.0000 0.2500 0.2500
Au1 Au 0.0000 0.0000 0.5000
```

---

[9]
A relaxed structure of Tl6Hg2Te2Se. Source: Alexandria, functional PBE.

Results
* V: 37.50 Å³ per atom
* E_form (uncorrected): -0.2443 eV per atom
* total magnetic moment: 0.0 μB per formula unit
* crystal system: monoclinic
* D(E_F): 0.1 states/eV/f.u.

```
data_Tl6Hg2Te2Se
_cell_length_a 8.2628
_cell_length_b 14.4464
_cell_length_c 7.5334
_cell_angle_alpha 90.00
_cell_angle_beta 113.46
_cell_angle_gamma 90.00
_space_group_name_H-M_alt 'C 1 2/m 1'
_space_group_IT_number 12
loop_
_space_group_symop_operation_xyz
'x,y,z'
'-x,-y,-z'
'-x,y,-z'
'x,-y,z'
'x+1/2,y+1/2,z'
'-x+1/2,-y+1/2,-z'
'-x+1/2,y+1/2,-z'
'x+1/2,-y+1/2,z'
loop_
_atom_site_label
_atom_site_type_symbol
_atom_site_fract_x
_atom_site_fract_y
_atom_site_fract_z
Tl1 Tl 0.2423 0.0000 0.2758
Tl2 Tl 0.2499 0.1530 0.7436
Hg1 Hg 0.0000 0.1733 0.0000
Te1 Te 0.0000 0.3236 0.5000
Se1 Se 0.0000 0.0000 0.5000
```

---

[10]
A relaxed structure of Sm2YCu3. Source: Alexandria, functional PBE.

Results
* formation energy from the elements: -1.220 eV per formula unit
* V: 21.87 Å³ per atom
* total magnetic moment: 0.0 μB per formula unit
* crystal system: tetragonal
* D(E_F): 3.0 states/eV/f.u.

```
data_Sm2YCu3
_cell_length_a 3.5149
_cell_length_b 3.5149
_cell_length_c 10.6228
_cell_angle_alpha 90.00
_cell_angle_beta 90.00
_cell_angle_gamma 90.00
_space_group_name_H-M_alt 'P 4/m m m'
_space_group_IT_number 123
_space_group_name_Hall '-P 4 2'
loop_
_atom_site_label
_atom_site_type_symbol
_atom_site_fract_x
_atom_site_fract_y
_atom_site_fract_z
Sm1 Sm 0.0000 0.0000 0.1686
Y1 Y 0.0000 0.0000 0.5000
Cu1 Cu 0.5000 0.5000 0.0000
Cu2 Cu 0.5000 0.5000 0.3396
```

---

[11]
A relaxed structure of Tb5Sb2N. Source: Alexandria, functional PBE.

Results
* V: 25.99 Å³ per atom
* E_form (uncorrected): -0.7653 eV per atom
* total magnetic moment: 0.3 μB per formula unit
* crystal system: orthorhombic
* D(E_F): 7.1 states/eV/f.u.

```
data_Tb5Sb2N
_cell_length_a 5.7064
_cell_length_b 9.7428
_cell_length_c 14.9617
_cell_angle_alpha 90.00
_cell_angle_beta 90.00
_cell_angle_gamma 90.00
_space_group_name_H-M_alt 'C m c m'
_space_group_IT_number 63
_space_group_name_Hall '-C 2c 2'
loop_
_atom_site_label
_atom_site_type_symbol
_atom_site_fract_x
_atom_site_fract_y
_atom_site_fract_z
Tb1 Tb 0.0000 0.0900 0.1340
Tb2 Tb 0.0000 0.2499 0.7500
Tb3 Tb 0.0000 0.4102 0.1340
Sb1 Sb 0.0000 0.2495 0.5559
N1 N 0.0000 0.2502 0.2500
```

---

[12]
A relaxed structure of Fe2ReH. Source: Alexandria, functional PBE.

Results
* V: 9.53 Å³ per atom
* total magnetic moment: 0.5 μB per formula unit
* crystal system: trigonal
* D(E_F): 3.8 states/eV/f.u.

```
data_Fe2ReH
_cell_length_a 2.6504
_cell_length_b 2.6504
_cell_length_c 18.7987
_cell_angle_alpha 90.00
_cell_angle_beta 90.00
_cell_angle_gamma 120.00
_space_group_name_H-M_alt 'R -3 m'
_space_group_IT_number 166
_space_group_name_Hall '-R 3 2"'
loop_
_atom_site_label
_atom_site_type_symbol
_atom_site_fract_x
_atom_site_fract_y
_atom_site_fract_z
Fe1 Fe 0.0000 0.0000 0.2210
Re1 Re 0.0000 0.0000 0.0000
H1 H 0.0000 0.0000 0.5000
```

---

[13]
A relaxed structure of K2Cd4Bi3Au. Source: Alexandria, functional PBE.

Results
* formation energy from the elements: -1.976 eV per formula unit
* V: 32.27 Å³ per atom
* total magnetic moment: 0.0 μB per formula unit
* crystal system: tetragonal
* D(E_F): 4.0 states/eV/f.u.

```
data_K2Cd4Bi3Au
_cell_length_a 5.2090
_cell_length_b 5.2090
_cell_length_c 11.8942
_cell_angle_alpha 90.00
_cell_angle_beta 90.00
_cell_angle_gamma 90.00
_space_group_name_H-M_alt 'P -4 m 2'
_space_group_IT_number 115
loop_
_space_group_symop_operation_xyz
'x,y,z'
'y,-x,-z'
'-x,-y,z'
'-y,x,-z'
'-x,y,z'
'-y,-x,-z'
'x,-y,z'
'y,x,-z'
loop_
_atom_site_label
_atom_site_type_symbol
_atom_site_fract_x
_atom_site_fract_y
_atom_site_fract_z
K1 K 0.0000 0.5000 0.2384
Cd1 Cd 0.0000 0.0000 0.5000
Cd2 Cd 0.0000 0.5000 0.8862
Cd3 Cd 0.5000 0.5000 0.5000
Bi1 Bi 0.0000 0.0000 0.0000
Bi2 Bi 0.0000 0.5000 0.6373
Au1 Au 0.5000 0.5000 0.0000
```

---

[14]
A relaxed structure of La3ZrAg. Source: Alexandria, functional PBE.

Results
* formation energy from the elements: 2.505 eV per formula unit
* V: 37.43 Å³ per atom
* total magnetic moment: 0.0 μB per formula unit
* crystal system: cubic
* D(E_F): 6.2 states/eV/f.u.

```
data_La3ZrAg
_cell_length_a 5.7199
_cell_length_b 5.7199
_cell_length_c 5.7199
_cell_angle_alpha 90.00
_cell_angle_beta 90.00
_cell_angle_gamma 90.00
_space_group_name_H-M_alt 'P m -3 m'
_space_group_IT_number 221
_space_group_name_Hall '-P 4 2 3'
loop_
_atom_site_label
_atom_site_type_symbol
_atom_site_fract_x
_atom_site_fract_y
_atom_site_fract_z
La1 La 0.0000 0.0000 0.5000
Zr1 Zr 0.0000 0.0000 0.0000
Ag1 Ag 0.5000 0.5000 0.5000
```

---

| no. | E_tot (eV per atom) |
| --- | --- |
| 1 | -7.698 |
| 2 | -3.805 |
| 3 | -3.656 |
| 4 | -4.935 |
| 5 | -4.439 |
| 6 | -3.422 |
| 7 | -7.009 |
| 8 | -3.146 |
| 9 | -2.478 |
| 10 | -4.902 |
| 11 | -5.731 |
| 12 | -8.108 |
| 13 | -2.275 |
| 14 | -4.735 |